## Cs2Mo3PbF12 (PBE with a Hubbard U)

Data for Cs2Mo3PbF12 after structural relaxation.

abc: 8.0150 8.0150 18.5528
angles: 90.00 90.00 120.00
Space group R-3m (No. 166, hexagonal axes)
One atom of each set of equivalent atoms:
Cs  0.0000  0.0000  0.1152 [6 per cell]
Mo  0.0000  0.5000  0.0000 [9 per cell]
Pb  0.0000  0.0000  0.5000 [3 per cell]
F  0.0177  0.5089  0.8879 [18 per cell]
F  0.0609  0.5304  0.3364 [18 per cell]

## Properties
**DOS(E_F)**: 0.32 states/eV per cell
**Total moment**: 0.444 μB/atom
**Calculated total energy**: -5.242 eV/atom
**Crystal system**: trigonal



## Cs2RbMoF8 (PBE with a Hubbard U)

Data for Cs2RbMoF8 after structural relaxation.

abc: 6.385 6.385 12.080
angles: 90.00 90.00 90.00
Space group I-4m2 (No. 119)
One atom of each set of equivalent atoms:
Cs  0.000  0.000  0.000 [2 per cell]
Cs  0.000  0.500  0.250 [2 per cell]
Rb  0.000  0.000  0.500 [2 per cell]
Mo  0.000  0.500  0.750 [2 per cell]
F  0.185  0.313  0.650 [16 per cell]

## Properties
**DOS(E_F)**: 0.00 states/eV per cell
**Total moment**: 0.082 μB/atom
**Calculated total energy**: -4.648 eV/atom
**Crystal system**: tetragonal



## CsRbMoF6 (PBE with a Hubbard U)

Data for CsRbMoF6 after structural relaxation.

abc: 6.8326 6.8326 10.1182
angles: 90.00 90.00 120.00
Space group P-31c (No. 163)
One atom of each set of equivalent atoms:
Cs  0.0000  0.0000  0.0000 [2 per cell]
Rb  0.3333  0.6667  0.2500 [2 per cell]
Mo  0.3333  0.6667  0.7500 [2 per cell]
F  0.0904  0.4259  0.6374 [12 per cell]

## Properties
**DOS(E_F)**: 0.00 states/eV per cell
**Total moment**: 0.222 μB/atom
**Calculated total energy**: -4.994 eV/atom
**Crystal system**: trigonal



## Cs3Rb3MoF8 (PBE with a Hubbard U)

Data for Cs3Rb3MoF8 after structural relaxation.

abc: 14.118 8.140 8.162
angles: 90.00 125.22 90.00
Space group C2/m (No. 12)
One atom of each set of equivalent atoms:
Cs  0.000  0.000  0.000 [2 per cell]
Cs  0.250  0.250  0.000 [4 per cell]
Rb  0.000  0.500  0.500 [2 per cell]
Rb  0.250  0.250  0.500 [4 per cell]
Mo  0.000  0.000  0.500 [2 per cell]
F  0.007  0.204  0.317 [8 per cell]
F  0.199  0.000  0.684 [4 per cell]
F  0.244  0.500  0.733 [4 per cell]

## Properties
**DOS(E_F)**: 2.85 states/eV per cell
**Total moment**: 0.133 μB/atom
**Calculated total energy**: -4.323 eV/atom
**Crystal system**: monoclinic



## CsSbMoF6 (PBE with a Hubbard U)

Data for CsSbMoF6 after structural relaxation.

abc: 5.583 6.045 6.193
angles: 88.85 89.70 68.27
Space group P1 (No. 1)
One atom of each set of equivalent atoms:
Cs  0.000  0.000  0.000 [1 per cell]
Sb  0.339  0.295  0.491 [1 per cell]
Mo  0.688  0.693  0.554 [1 per cell]
F  0.063  0.561  0.703 [1 per cell]
F  0.342  0.848  0.390 [1 per cell]
F  0.528  0.901  0.817 [1 per cell]
F  0.592  0.404  0.687 [1 per cell]
F  0.741  0.000  0.433 [1 per cell]
F  0.922  0.456  0.319 [1 per cell]

## Properties
**Total moment**: 0.222 μB/atom
**Calculated total energy**: -4.920 eV/atom
**Crystal system**: triclinic



## Cs2ScMoF6 (PBE with a Hubbard U)

Data for Cs2ScMoF6 after structural relaxation.

abc: 6.326 6.326 8.854
angles: 90.00 90.00 90.00
Space group I4/mmm (No. 139)
One atom of each set of equivalent atoms:
Cs  0.000  0.500  0.250 [4 per cell]
Sc  0.000  0.000  0.000 [2 per cell]
Mo  0.000  0.000  0.500 [2 per cell]
F  0.000  0.000  0.250 [4 per cell]
F  0.240  0.240  0.000 [8 per cell]

## Properties
**DOS(E_F)**: 11.26 states/eV per cell
**Total moment**: 0.102 μB/atom
**Calculated total energy**: -5.250 eV/atom
**Crystal system**: tetragonal



## Cs2SiMoF6 (PBE with a Hubbard U)

Data for Cs2SiMoF6 after structural relaxation.

abc: 6.057 6.057 11.518
angles: 90.00 90.00 90.00
Space group I4/mmm (No. 139)
One atom of each set of equivalent atoms:
Cs  0.000  0.500  0.250 [4 per cell]
Si  0.000  0.000  0.000 [2 per cell]
Mo  0.000  0.000  0.500 [2 per cell]
F  0.000  0.000  0.319 [4 per cell]
F  0.247  0.247  0.500 [8 per cell]

## Properties
**DOS(E_F)**: 0.00 states/eV per cell
**Total moment**: 0.400 μB/atom
**Calculated total energy**: -4.827 eV/atom
**Crystal system**: tetragonal



## CsSn2MoF8 (PBE with a Hubbard U)

Data for CsSn2MoF8 after structural relaxation.

abc: 5.481 5.567 8.340
angles: 85.65 87.52 85.54
Space group P-1 (No. 2)
One atom of each set of equivalent atoms:
Cs  0.000  0.000  0.000 [1 per cell]
Sn  0.486  0.486  0.274 [2 per cell]
Mo  0.000  0.000  0.500 [1 per cell]
F  0.155  0.771  0.327 [2 per cell]
F  0.241  0.858  0.681 [2 per cell]
F  0.254  0.261  0.428 [2 per cell]
F  0.320  0.359  0.083 [2 per cell]

## Properties
**DOS(E_F)**: 0.00 states/eV per cell
**Total moment**: 0.250 μB/atom
**Calculated total energy**: -5.058 eV/atom
**Crystal system**: triclinic



> What is the formula in the seventh record?

Cs2SiMoF6